# 1
# TaFePt2 | Alexandria via LeMat-Bulk | PBE | optimized geometry
data_TaFePt2
_chemical_formula_sum 'Ta1 Fe1 Pt2'
_cell_length_a 4.428
_cell_length_b 4.428
_cell_length_c 4.428
_cell_angle_alpha 60.00
_cell_angle_beta 60.00
_cell_angle_gamma 60.00
_symmetry_space_group_name_H-M 'P 1'
_symmetry_Int_Tables_number 1
_symmetry_space_group_name_Hall 'P 1'
loop_
_atom_site_label
_atom_site_fract_x
_atom_site_fract_y
_atom_site_fract_z
Fe1 0.500 0.500 0.500
Pt1 0.000 0.000 0.000
Pt2 0.250 0.250 0.250
Ta1 0.750 0.750 0.750
# formation energy from the elements	-1.18	eV per formula unit
# excess energy over the best structure of this formula in the dataset	280	meV/atom
# spin magnetization	2.11	μB per formula unit
# DFT total energy	-8.39	eV per atom

***

# 2
# PmH2SeN | Alexandria via LeMat-Bulk | PBE | optimized geometry
data_PmH2SeN
_chemical_formula_sum 'Pm2 H4 Se2 N2'
_cell_length_a 5.265
_cell_length_b 5.265
_cell_length_c 6.350
_cell_angle_alpha 114.49
_cell_angle_beta 114.49
_cell_angle_gamma 90.00
_symmetry_space_group_name_H-M 'P 1'
_symmetry_Int_Tables_number 1
_symmetry_space_group_name_Hall 'P 1'
loop_
_atom_site_label
_atom_site_fract_x
_atom_site_fract_y
_atom_site_fract_z
Pm1 0.707 0.707 0.415
Pm2 0.207 0.207 0.415
H1 0.252 0.752 0.004
H2 0.752 0.752 0.004
H3 0.752 0.252 0.004
H4 0.252 0.252 0.004
Se1 0.807 0.307 0.614
Se2 0.307 0.807 0.614
N1 0.982 0.982 0.963
N2 0.482 0.482 0.963
# spin magnetization	0.00	μB per formula unit
# DFT total energy	-4.46	eV per atom